The following is a DFT calculation (PBE) of a relaxed structure of RbSr3Ac2S6.

Cell lengths 4.3360, 8.7822, 9.6786 Å; angles 102.67, 102.94, 90.00 degrees
Sites, in units of the cell vectors:
Rb (0.5000, 0.0000, 0.0000)
Sr (0.5000, 0.5000, 0.0000)
Sr (0.8381, 0.1653, 0.6761)
Sr (0.1619, 0.8347, 0.3239)
Ac (0.8351, 0.6694, 0.6702)
Ac (0.1649, 0.3306, 0.3298)
S (0.3243, 0.9074, 0.6487)
S (0.6684, 0.5831, 0.3368)
S (0.6757, 0.0926, 0.3513)
S (0.0041, 0.2735, 0.0081)
S (0.9959, 0.7265, 0.9918)
S (0.3316, 0.4169, 0.6632)

- Calculated density: 4.7 g/cm3
- Size of the total moment: 0.00 μB/cell
- Formation energy without anion corrections: -1977.1 meV/atom

---

The following is a DFT calculation (PBE) of a relaxed structure of LiTi2Fe.

Cell lengths 3.0055, 4.2586, 4.2586 Å; angles 90.00, 90.00, 90.00 degrees
Sites, in units of the cell vectors:
Li (0.5000, 0.5000, 0.5000)
Fe (0.5000, 0.0000, 0.0000)
Ti (0.0000, 0.0000, 0.5000)
Ti (0.0000, 0.5000, 0.0000)

- Calculated density: 4.8 g/cm3
- Size of the total moment: 0.00 μB/cell
- Relative energy among the computed polymorphs: 66.8 meV per atom

---

The following is a DFT calculation (PBE) of a relaxed structure of ScSbP.

Cell lengths 6.6918, 6.6918, 6.6918 Å; angles 90.00, 90.00, 90.00 degrees
Sites, in units of the cell vectors:
P (0.6296, 0.6296, 0.6296)
P (0.8704, 0.3704, 0.1296)
P (0.1296, 0.8704, 0.3704)
P (0.3704, 0.1296, 0.8704)
Sb (0.4128, 0.4128, 0.4128)
Sb (0.0872, 0.5872, 0.9128)
Sb (0.9128, 0.0872, 0.5872)
Sb (0.5872, 0.9128, 0.0872)
Sc (0.0328, 0.0328, 0.0328)
Sc (0.4672, 0.9672, 0.5328)
Sc (0.5328, 0.4672, 0.9672)
Sc (0.9672, 0.5328, 0.4672)

- Calculated density: 4.4 g/cm3
- Size of the total moment: 0.00 μB/cell
- Relative energy among the computed polymorphs: 226.9 meV per atom
- Formation energy without anion corrections: -469.0 meV/atom

---

The following is a DFT calculation (PBE) of a relaxed structure of Tb2AlCu3.

Cell lengths 3.8040, 4.0570, 8.1851 Å; angles 104.35, 103.44, 90.00 degrees
Sites, in units of the cell vectors:
Tb (0.1296, 0.1296, 0.2592)
Tb (0.8650, 0.3650, 0.7300)
Al (0.4604, 0.9604, 0.9207)
Cu (0.7030, 0.7030, 0.4060)
Cu (0.5441, 0.5441, 0.0883)
Cu (0.2979, 0.7979, 0.5959)

- Calculated density: 7.5 g/cm3
- Size of the total moment: 0.00 μB/cell
- Relative energy among the computed polymorphs: 13.3 meV per atom

---

The following is a DFT calculation (PBE) of a relaxed structure of CaTlBiSe2.

Cell lengths 5.5007, 5.9381, 5.5007 Å; angles 90.00, 90.00, 90.00 degrees
Sites, in units of the cell vectors:
Tl (0.5000, 0.5000, 0.5000)
Ca (0.0000, 0.0000, 0.0000)
Bi (0.0000, 0.5000, 0.0000)
Se (0.0000, 0.0000, 0.5000)
Se (0.5000, 0.0000, 0.0000)

- Calculated density: 5.7 g/cm3
- Size of the total moment: 0.00 μB/cell
- Formation energy without anion corrections: -88.3 meV/atom

---

The following is a DFT calculation (PBE) of a relaxed structure of Y8GaTe4Se3.

Cell lengths 8.4171, 8.5865, 8.4171 Å; angles 119.35, 120.00, 90.00 degrees
Sites, in units of the cell vectors:
Y (0.2360, 0.7196, 0.9836)
Y (0.2360, 0.7196, 0.4721)
Y (0.2608, 0.2823, 0.5215)
Y (0.7476, 0.7196, 0.9836)
Y (0.2524, 0.2804, 0.0164)
Y (0.7392, 0.7177, 0.4785)
Y (0.7640, 0.2804, 0.5279)
Y (0.7640, 0.2804, 0.0164)
Ga (0.0000, 0.5000, 0.0000)
Te (0.5000, 0.0000, 0.0000)
Te (0.5000, 0.0000, 0.5000)
Te (0.0000, 0.0000, 0.0000)
Te (0.0000, 0.0000, 0.5000)
Se (0.5000, 0.5000, 0.0000)
Se (0.5000, 0.5000, 0.5000)
Se (0.0000, 0.5000, 0.5000)

- Calculated density: 5.8 g/cm3
- Size of the total moment: 0.00 μB/cell
- Formation energy without anion corrections: -1449.8 meV/atom

---

The following is a DFT calculation (PBE) of a relaxed structure of Tb12PmIn6.

Cell lengths 8.8648, 8.8648, 8.8648 Å; angles 103.32, 103.32, 103.32 degrees
Sites, in units of the cell vectors:
Tb (0.8796, 0.1204, 0.5000)
Tb (0.8229, 0.5565, 0.5565)
Tb (0.5565, 0.5565, 0.8229)
Tb (0.4435, 0.1771, 0.4435)
Tb (0.4435, 0.4435, 0.1771)
Tb (0.1771, 0.4435, 0.4435)
Tb (0.1204, 0.5000, 0.8796)
Tb (0.5000, 0.8796, 0.1204)
Tb (0.1204, 0.8796, 0.5000)
Tb (0.8796, 0.5000, 0.1204)
Tb (0.5000, 0.1204, 0.8796)
Tb (0.5565, 0.8229, 0.5565)
Pm (0.0000, 0.0000, 0.0000)
In (0.7044, 0.2462, 0.2462)
In (0.2462, 0.2462, 0.7044)
In (0.2462, 0.7044, 0.2462)
In (0.7538, 0.7538, 0.2956)
In (0.2956, 0.7538, 0.7538)
In (0.7538, 0.2956, 0.7538)

- Calculated density: 7.2 g/cm3
- Size of the total moment: 0.01 μB/cell
- Total energy: -4.08 eV per atom

---

The following is a DFT calculation (PBE) of a relaxed structure of Cs2RbNa.

Cell lengths 5.3537, 5.3537, 14.9332 Å; angles 79.67, 79.67, 60.00 degrees
Sites, in units of the cell vectors:
Cs (0.0694, 0.0694, 0.7917)
Cs (0.2639, 0.2639, 0.2084)
Rb (0.5002, 0.5002, 0.4995)
Na (0.6665, 0.6665, 0.0005)

- Calculated density: 1.7 g/cm3
- Size of the total moment: 0.00 μB/cell
- Relative energy among the computed polymorphs: 40.6 meV per atom

---

The following is a DFT calculation (PBE) of a relaxed structure of BeTeWN2.

Cell lengths 3.8706, 3.8706, 5.7667 Å; angles 90.00, 90.00, 90.00 degrees
Sites, in units of the cell vectors:
Be (0.5000, 0.5000, 0.5000)
Te (0.0000, 0.0000, 0.5000)
W (0.0000, 0.0000, 0.0000)
N (0.0000, 0.5000, 0.0000)
N (0.5000, 0.0000, 0.0000)

- Calculated density: 6.7 g/cm3
- Size of the total moment: 0.00 μB/cell
- Relative energy among the computed polymorphs: 0.0 meV per atom
- Formation energy without anion corrections: 558.7 meV/atom

---

The following is a DFT calculation (PBE) of a relaxed structure of Nd8Te4HIr3.

Cell lengths 8.4257, 8.9468, 8.4270 Å; angles 118.09, 119.99, 90.00 degrees
Sites, in units of the cell vectors:
Nd (0.2414, 0.7107, 0.9693)
Nd (0.2416, 0.7108, 0.4832)
Nd (0.2635, 0.2904, 0.5269)
Nd (0.7279, 0.7107, 0.9693)
Nd (0.2721, 0.2893, 0.0307)
Nd (0.7365, 0.7096, 0.4731)
Nd (0.7584, 0.2892, 0.5168)
Nd (0.7586, 0.2893, 0.0307)
Te (0.5000, 0.0000, 0.0000)
Te (0.5000, 0.0000, 0.5000)
Te (0.0000, 0.0000, 0.0000)
Te (0.0000, 0.0000, 0.5000)
H (0.0000, 0.5000, 0.0000)
Ir (0.5000, 0.5000, 0.0000)
Ir (0.5000, 0.5000, 0.5000)
Ir (0.0000, 0.5000, 0.5000)

- Calculated density: 8.1 g/cm3
- Size of the total moment: 0.00 μB/cell
- Total energy: -6.01 eV per atom

---

The following is a DFT calculation (PBE) of a relaxed structure of Zn2SnIrC.

Cell lengths 4.9906, 3.8437, 4.9906 Å; angles 90.00, 90.00, 90.00 degrees
Sites, in units of the cell vectors:
C (0.0000, 0.5000, 0.0000)
Zn (0.0000, 0.0000, 0.5000)
Zn (0.5000, 0.0000, 0.0000)
Ir (0.0000, 0.0000, 0.0000)
Sn (0.5000, 0.5000, 0.5000)

- Calculated density: 7.9 g/cm3
- Size of the total moment: 0.00 μB/cell
- Total energy: -4.40 eV per atom

---

The following is a DFT calculation (PBE) of a relaxed structure of ScSbMoAs2.

Cell lengths 5.2398, 4.9987, 5.2398 Å; angles 90.00, 90.00, 90.00 degrees
Sites, in units of the cell vectors:
Sc (0.5000, 0.5000, 0.5000)
Sb (0.0000, 0.0000, 0.0000)
Mo (0.0000, 0.5000, 0.0000)
As (0.0000, 0.0000, 0.5000)
As (0.5000, 0.0000, 0.0000)

- Calculated density: 5.0 g/cm3
- Size of the total moment: 1.79 μB/cell
- Formation energy without anion corrections: 1115.4 meV/atom